Material: Hf2Ag4S5
Method: DFT, PBE
State: relaxed

Cell and atoms, written as POSCAR:
```
Hf2Ag4S5
1.0
3.8187 0.0000 0.0000
1.9094 3.3071 0.0000
1.9094 1.1024 17.9648
Hf Ag S
2 4 5
Cartesian
1.9094 1.1024 10.2902
5.7281 3.3071 7.6747
5.7281 3.3071 16.9654
3.8187 2.2048 4.4411
3.8187 2.2048 13.5237
1.9094 1.1024 0.9995
5.7281 3.3071 11.7895
3.8187 2.2048 2.0292
3.8187 2.2048 8.9824
3.8187 2.2048 15.9356
1.9094 1.1024 6.1754
```

Formation energy without anion corrections   -464 meV per atom
N(E_F)   5.6 states/eV/cell
Total DFT energy (no corrections)   -5.1869 eV/atom

=====

Material: Hf2AgS4
Method: DFT, PBE
State: relaxed

Cell and atoms, written as POSCAR:
```
Hf2AgS4
1.0
3.5148 0.0000 -0.8626
-0.5610 5.7862 -2.2858
-0.0375 -0.2664 7.4394
Hf Ag S
2 1 4
Cartesian
2.1912 4.2320 1.3361
0.7252 1.2878 2.9549
0.0000 0.0000 0.0000
2.9031 0.9376 4.2369
0.0133 4.5822 0.0541
2.0547 1.7283 0.7800
0.8617 3.7915 3.5110
```

Formation energy without anion corrections   -1251 meV per atom
N(E_F)   2.7 states/eV/cell
Total DFT energy (no corrections)   -6.8605 eV/atom

=====

Material: HfAg5S4
Method: DFT, PBE
State: relaxed

Cell and atoms, written as POSCAR:
```
HfAg5S4
1.0
3.7181 0.0000 0.0000
0.0000 6.4290 0.8636
-1.8590 0.0596 8.1852
Hf Ag S
1 5 4
Cartesian
1.8590 0.0000 0.0000
1.8590 3.7947 5.4812
1.8590 0.8144 4.9494
0.0000 5.6743 4.0994
1.8590 3.2145 0.4318
0.0000 2.6940 3.5675
0.0000 5.2784 6.7701
0.0000 4.8388 1.6550
1.8590 1.2102 2.2787
1.8590 1.6498 7.3938
```

Formation energy without anion corrections   -371 meV per atom
N(E_F)   1.6 states/eV/cell
Total DFT energy (no corrections)   -4.4433 eV/atom

=====

Material: HfAgS2
Method: DFT, PBE
State: relaxed

Cell and atoms, written as POSCAR:
```
HfAgS2
1.0
5.9479 0.0000 0.0000
0.0000 5.9479 0.0000
2.9740 2.9740 5.4721
S Hf Ag
4 2 2
Cartesian
4.5694 1.4870 1.3680
1.3785 4.4609 1.3680
4.4609 4.3525 4.1041
7.4349 7.5434 4.1041
0.0000 0.0000 0.0000
5.9479 2.9740 2.7361
2.9740 2.9740 0.0000
2.9740 5.9479 2.7361
```

Formation energy without anion corrections   -676 meV per atom
N(E_F)   6.8 states/eV/cell
Total DFT energy (no corrections)   -5.9406 eV/atom

=====

Material: Hf3AgS
Method: DFT, PBE
State: relaxed

Cell and atoms, written as POSCAR:
```
Hf3AgS
1.0
-2.4026 2.0272 -3.5436
-2.8933 -3.7463 -0.1815
-2.8802 2.0723 3.1383
S Hf Ag
1 3 1
Cartesian
0.0000 0.0000 0.0000
-1.4466 -1.8732 -0.0908
-1.4401 1.0361 1.5692
-1.2013 1.0136 -1.7718
-4.0880 0.1766 -0.2934
```

Formation energy without anion corrections   -234 meV per atom
N(E_F)   3.5 states/eV/cell
Total DFT energy (no corrections)   -7.6021 eV/atom

=====

Material: HfAg2S4
Method: DFT, PBE
State: relaxed

Cell and atoms, written as POSCAR:
```
HfAg2S4
1.0
-0.4095 -3.4487 0.8557
5.4476 2.0626 3.4448
-6.9108 3.0755 9.0874
Hf Ag S
2 4 8
Cartesian
-4.3252 0.6508 8.0284
2.4525 1.0386 5.3595
-1.6047 1.4177 4.9457
-2.7836 1.3912 11.7501
0.9109 0.2982 1.6378
-0.2680 0.2717 8.4422
2.0862 -1.1239 3.9445
0.4076 -0.3768 6.1518
-3.9590 2.8133 9.4434
-2.2803 2.0662 7.2361
-0.5828 0.8923 10.7927
-1.2899 0.7971 2.5952
-0.2048 -1.7243 0.4278
-3.6602 -0.1866 4.9716
```

Formation energy without anion corrections   -521 meV per atom
N(E_F)   7.4 states/eV/cell
Total DFT energy (no corrections)   -5.1161 eV/atom

=====

Material: HfAgS2
Method: DFT, PBE
State: relaxed

Cell and atoms, written as POSCAR:
```
HfAgS2
1.0
0.0000 3.2457 3.2457
3.2457 0.0000 3.2457
3.2457 3.2457 0.0000
S Hf Ag
2 1 1
Cartesian
1.6229 1.6229 1.6229
4.8686 4.8686 4.8686
3.2457 3.2457 3.2457
0.0000 0.0000 0.0000
```

Formation energy without anion corrections   -527 meV per atom
N(E_F)   4.9 states/eV/cell
Total DFT energy (no corrections)   -5.7922 eV/atom

=====

Material: HfScAgS4
Method: DFT, PBE
State: relaxed

Cell and atoms, written as POSCAR:
```
HfScAgS4
1.0
-1.8091 -5.6905 4.6224
5.4973 -4.1476 3.2136
1.3246 0.6258 7.4568
Hf Sc Ag S
2 2 2 8
Cartesian
-0.2423 -2.5323 6.0396
0.6623 0.3129 3.7284
0.0000 0.0000 0.0000
3.4109 -1.7609 5.3352
2.4971 -6.0639 5.8482
2.5156 -3.1483 9.4447
3.7908 -7.0280 11.3356
4.8144 -4.1528 9.1078
0.1983 -5.0594 6.1851
1.2219 -2.1843 3.9572
4.1591 -4.2368 5.4271
3.1850 -7.3006 7.9158
1.8277 -1.9116 7.3770
0.8537 -4.9755 9.8658
```

Formation energy without anion corrections   -1400 meV per atom
Total DFT energy (no corrections)   -6.4925 eV/atom

=====

Material: HfTlAgS3
Method: DFT, PBE
State: relaxed

Cell and atoms, written as POSCAR:
```
HfTlAgS3
1.0
-0.0012 -4.0401 5.4475
5.2831 -3.5725 -2.6484
1.7415 5.9681 4.4266
Hf Tl Ag S
2 2 2 6
Cartesian
0.4733 -0.5582 1.6971
6.5502 -1.0863 5.5287
2.4680 -0.6745 5.8331
4.5554 -0.9699 1.3926
3.5840 2.4098 3.8989
3.4394 -4.0542 3.3268
1.9879 0.8869 2.7691
1.2974 -0.8773 -0.6504
3.9851 -4.7153 0.7257
1.2967 -2.8973 2.0734
3.9857 -2.6952 -1.9980
5.0355 -2.5314 4.4566
```

Formation energy without anion corrections   -823 meV per atom
Total DFT energy (no corrections)   -5.4147 eV/atom

=====

Material: HfTl2Ag2S4
Method: DFT, PBE
State: relaxed

Cell and atoms, written as POSCAR:
```
HfTl2Ag2S4
1.0
-2.4332 0.8167 2.9247
-1.0153 -7.5987 1.2773
6.9391 2.3953 2.5154
Hf Tl Ag S
1 2 2 4
Cartesian
0.0000 0.0000 0.0000
1.0594 -3.5332 1.8680
2.4312 -0.8535 4.8495
-0.1776 -5.8817 4.0832
3.6682 1.4950 2.6342
1.9287 -0.4017 1.7167
1.5619 -3.9850 5.0007
4.9321 -3.0859 4.9648
-1.4414 -1.3009 1.7526
```

Formation energy without anion corrections   -637 meV per atom
Total DFT energy (no corrections)   -4.7373 eV/atom

=====

Material: YHfAgS4
Method: DFT, PBE
State: relaxed

Cell and atoms, written as POSCAR:
```
YHfAgS4
1.0
7.5837 0.0000 0.0000
3.7918 6.7983 0.0563
3.7918 2.1247 6.4580
Y Hf Ag S
2 2 2 8
Cartesian
0.0000 0.0000 0.0000
3.7918 4.4615 3.2572
5.6877 1.0624 3.2290
1.8959 1.0624 3.2290
7.5837 4.4790 0.8165
7.5837 4.4441 5.6978
11.3755 6.8160 4.6985
7.5837 6.8330 4.7110
7.5837 2.0901 1.8034
3.7918 2.1071 1.8159
5.6398 5.8103 1.7884
9.5275 5.8103 1.7884
5.6398 3.1128 4.7259
9.5275 3.1128 4.7259
```

Formation energy without anion corrections   -1450 meV per atom
Total DFT energy (no corrections)   -6.5614 eV/atom

=====

Material: HfAg2Sb
Method: DFT, PBE
State: relaxed

Cell and atoms, written as POSCAR:
```
HfAg2Sb
1.0
-2.3305 7.5177 -0.1414
0.1340 -0.1065 -7.8700
-3.8216 2.8607 -4.0407
Sb Hf Ag
2 2 4
Cartesian
-1.0982 3.7056 -4.0057
-2.3929 3.2299 -7.9582
0.0000 0.0000 0.0000
-3.6252 7.0420 -4.0939
-2.3762 5.3390 -2.0811
-1.1820 1.6497 -5.9478
-3.6888 4.9238 -6.0990
-4.7892 8.6312 -9.9762
```

Formation energy without anion corrections   167 meV per atom
N(E_F)   6.8 states/eV/cell
Total DFT energy (no corrections)   -4.7779 eV/atom

=====

Question: The lowest formation energy without anion corrections belongs to which entry?
Answer: YHfAgS4

=====

Question: Which formula does entry 5 have?
Answer: Hf3AgS

=====

Question: Among the records above, which one has the lowest total DFT energy (no corrections)?
Answer: Hf3AgS

=====

Question: What is the formation energy without anion corrections in the fifth record?
Answer: -234 meV per atom